#A
# Tl13Au2 | Alexandria via LeMat-Bulk | PBE-GGA | relaxed
# Magnetic moment, Bohr magnetons per cell: 0.00
data_Tl13Au2
_cell_length_a 6.747
_cell_length_b 7.932
_cell_length_c 9.279
_cell_angle_alpha 65.90
_cell_angle_beta 84.01
_cell_angle_gamma 80.83
_symmetry_space_group_name_H-M 'P -1'
_symmetry_Int_Tables_number 2
loop_
_symmetry_equiv_pos_as_xyz
'x,y,z'
'-x,-y,-z'
loop_
_atom_site_label
_atom_site_type_symbol
_atom_site_fract_x
_atom_site_fract_y
_atom_site_fract_z
Tl1 Tl 0.000 0.000 0.000
Tl2 Tl 0.049 0.214 0.329
Tl3 Tl 0.182 0.645 0.363
Tl4 Tl 0.243 0.584 0.019
Tl5 Tl 0.290 0.363 0.770
Tl6 Tl 0.430 0.079 0.140
Tl7 Tl 0.474 0.763 0.572
Au1 Au 0.194 0.068 0.666



#B
# Tl13Au2 | Alexandria via LeMat-Bulk | PBE-GGA | relaxed
# Magnetic moment, Bohr magnetons per cell: 0.00
data_Tl13Au2
_cell_length_a 8.7221
_cell_length_b 8.7221
_cell_length_c 22.5221
_cell_angle_alpha 90.00
_cell_angle_beta 90.00
_cell_angle_gamma 120.00
_symmetry_space_group_name_H-M 'R -3 m'
_symmetry_Int_Tables_number 166
_symmetry_space_group_name_Hall '-R 3 2"'
loop_
_atom_site_label
_atom_site_type_symbol
_atom_site_fract_x
_atom_site_fract_y
_atom_site_fract_z
Tl1 Tl 0.0000 0.0000 0.0000
Tl2 Tl 0.0660 0.5330 0.4295
Tl3 Tl 0.0823 0.5412 0.2804
Au1 Au 0.0000 0.0000 0.1340



Energy ordering: #A at the bottom, the next structure 101 meV/atom above.



#A
# TmTl2Au | Alexandria via LeMat-Bulk | PBE-GGA | relaxed
# Magnetic moment, Bohr magnetons per cell: 0.00
data_TmTl2Au
_cell_length_a 3.4986
_cell_length_b 3.4986
_cell_length_c 32.0486
_cell_angle_alpha 90.00
_cell_angle_beta 90.00
_cell_angle_gamma 120.00
_symmetry_space_group_name_H-M 'R -3 m'
_symmetry_Int_Tables_number 166
_symmetry_space_group_name_Hall '-R 3 2"'
loop_
_atom_site_label
_atom_site_type_symbol
_atom_site_fract_x
_atom_site_fract_y
_atom_site_fract_z
Tm1 Tm 0.0000 0.0000 0.0000
Tl1 Tl 0.0000 0.0000 0.0973
Au1 Au 0.0000 0.0000 0.5000



#B
# TmTl2Au | Alexandria via LeMat-Bulk | PBE-GGA | relaxed
# Magnetic moment, Bohr magnetons per cell: 0.00
data_TmTl2Au
_cell_length_a 4.537
_cell_length_b 4.537
_cell_length_c 4.681
_cell_angle_alpha 90.00
_cell_angle_beta 90.00
_cell_angle_gamma 90.00
_symmetry_space_group_name_H-M 'P 4/m m m'
_symmetry_Int_Tables_number 123
_symmetry_space_group_name_Hall '-P 4 2'
loop_
_atom_site_label
_atom_site_type_symbol
_atom_site_fract_x
_atom_site_fract_y
_atom_site_fract_z
Tm1 Tm 0.000 0.000 0.000
Tl1 Tl 0.000 0.500 0.500
Au1 Au 0.500 0.500 0.000



Energy ordering: #B at the bottom, the next structure 395 meV/atom above.



#A
# Tl2VAu | Alexandria via LeMat-Bulk | PBE-GGA | relaxed
# Magnetic moment, Bohr magnetons per cell: 12.10
data_Tl2VAu
_cell_length_a 7.002
_cell_length_b 7.002
_cell_length_c 7.002
_cell_angle_alpha 90.00
_cell_angle_beta 90.00
_cell_angle_gamma 90.00
_symmetry_space_group_name_H-M 'F m -3 m'
_symmetry_Int_Tables_number 225
_symmetry_space_group_name_Hall '-F 4 2 3'
loop_
_atom_site_label
_atom_site_type_symbol
_atom_site_fract_x
_atom_site_fract_y
_atom_site_fract_z
Tl1 Tl 0.250 0.250 0.250
V1 V 0.000 0.000 0.000
Au1 Au 0.000 0.000 0.500



#B
# Tl2VAu | Alexandria via LeMat-Bulk | PBE-GGA | relaxed
# Magnetic moment, Bohr magnetons per cell: 11.94
data_Tl2VAu
_cell_length_a 7.858
_cell_length_b 7.858
_cell_length_c 6.075
_cell_angle_alpha 90.00
_cell_angle_beta 90.00
_cell_angle_gamma 90.00
_symmetry_space_group_name_H-M 'I -4 2 d'
_symmetry_Int_Tables_number 122
_symmetry_space_group_name_Hall 'I -4 2bw'
loop_
_atom_site_label
_atom_site_type_symbol
_atom_site_fract_x
_atom_site_fract_y
_atom_site_fract_z
Tl1 Tl 0.248 0.750 0.125
V1 V 0.000 0.000 0.500
Au1 Au 0.000 0.000 0.000



Energy ordering: #A at the bottom, the next structure 65 meV/atom above.



#A
# Tl2VAu2 | Alexandria via LeMat-Bulk | PBE-GGA | relaxed
# Magnetic moment, Bohr magnetons per cell: 6.52
data_Tl2VAu2
_cell_length_a 7.237
_cell_length_b 7.237
_cell_length_c 4.384
_cell_angle_alpha 90.00
_cell_angle_beta 90.00
_cell_angle_gamma 90.00
_symmetry_space_group_name_H-M 'P 4/m b m'
_symmetry_Int_Tables_number 127
_symmetry_space_group_name_Hall '-P 4 2ab'
loop_
_atom_site_label
_atom_site_type_symbol
_atom_site_fract_x
_atom_site_fract_y
_atom_site_fract_z
Tl1 Tl 0.173 0.327 0.000
V1 V 0.000 0.000 0.500
Au1 Au 0.139 0.639 0.500



#B
# Tl2VAu2 | Alexandria via LeMat-Bulk | PBE-GGA | relaxed
# Magnetic moment, Bohr magnetons per cell: 7.11
data_Tl2VAu2
_cell_length_a 4.195
_cell_length_b 4.195
_cell_length_c 13.753
_cell_angle_alpha 90.00
_cell_angle_beta 90.00
_cell_angle_gamma 90.00
_symmetry_space_group_name_H-M 'I 4/m m m'
_symmetry_Int_Tables_number 139
_symmetry_space_group_name_Hall '-I 4 2'
loop_
_atom_site_label
_atom_site_type_symbol
_atom_site_fract_x
_atom_site_fract_y
_atom_site_fract_z
Tl1 Tl 0.000 0.500 0.250
V1 V 0.000 0.000 0.000
Au1 Au 0.000 0.000 0.405



Energy ordering: #A at the bottom, the next structure 211 meV/atom above.



#A
# Tl3WAu | Alexandria via LeMat-Bulk | PBE-GGA | relaxed
# Magnetic moment, Bohr magnetons per cell: 1.73
data_Tl3WAu
_cell_length_a 5.419
_cell_length_b 5.419
_cell_length_c 5.419
_cell_angle_alpha 90.00
_cell_angle_beta 90.00
_cell_angle_gamma 90.00
_symmetry_space_group_name_H-M 'P m -3 m'
_symmetry_Int_Tables_number 221
_symmetry_space_group_name_Hall '-P 4 2 3'
loop_
_atom_site_label
_atom_site_type_symbol
_atom_site_fract_x
_atom_site_fract_y
_atom_site_fract_z
Tl1 Tl 0.000 0.000 0.500
W1 W 0.000 0.000 0.000
Au1 Au 0.500 0.500 0.500



#B
# Tl3WAu | Alexandria via LeMat-Bulk | PBE-GGA | relaxed
# Magnetic moment, Bohr magnetons per cell: 4.37
data_Tl3WAu
_cell_length_a 5.486
_cell_length_b 5.486
_cell_length_c 5.486
_cell_angle_alpha 90.00
_cell_angle_beta 90.00
_cell_angle_gamma 90.00
_symmetry_space_group_name_H-M 'P m -3 m'
_symmetry_Int_Tables_number 221
_symmetry_space_group_name_Hall '-P 4 2 3'
loop_
_atom_site_label
_atom_site_type_symbol
_atom_site_fract_x
_atom_site_fract_y
_atom_site_fract_z
Tl1 Tl 0.000 0.000 0.500
W1 W 0.500 0.500 0.500
Au1 Au 0.000 0.000 0.000



Energy ordering: #A at the bottom, the next structure 365 meV/atom above.



#A
# YTl2Au2 | Alexandria via LeMat-Bulk | PBE-GGA | relaxed
# Magnetic moment, Bohr magnetons per cell: 0.00
data_YTl2Au2
_cell_length_a 7.590
_cell_length_b 7.590
_cell_length_c 4.402
_cell_angle_alpha 90.00
_cell_angle_beta 90.00
_cell_angle_gamma 90.00
_symmetry_space_group_name_H-M 'P 4/m b m'
_symmetry_Int_Tables_number 127
_symmetry_space_group_name_Hall '-P 4 2ab'
loop_
_atom_site_label
_atom_site_type_symbol
_atom_site_fract_x
_atom_site_fract_y
_atom_site_fract_z
Y1 Y 0.000 0.000 0.000
Tl1 Tl 0.178 0.322 0.500
Au1 Au 0.130 0.630 0.000



#B
# YTl2Au2 | Alexandria via LeMat-Bulk | PBE-GGA | relaxed
# Magnetic moment, Bohr magnetons per cell: 0.00
data_YTl2Au2
_cell_length_a 4.861
_cell_length_b 4.861
_cell_length_c 10.834
_cell_angle_alpha 90.00
_cell_angle_beta 90.00
_cell_angle_gamma 90.00
_symmetry_space_group_name_H-M 'I 4/m m m'
_symmetry_Int_Tables_number 139
_symmetry_space_group_name_Hall '-I 4 2'
loop_
_atom_site_label
_atom_site_type_symbol
_atom_site_fract_x
_atom_site_fract_y
_atom_site_fract_z
Y1 Y 0.000 0.000 0.000
Tl1 Tl 0.000 0.000 0.372
Au1 Au 0.000 0.500 0.250



#C
# YTl2Au2 | Alexandria via LeMat-Bulk | PBE-GGA | relaxed
# Magnetic moment, Bohr magnetons per cell: 0.00
data_YTl2Au2
_cell_length_a 4.297
_cell_length_b 4.297
_cell_length_c 13.565
_cell_angle_alpha 90.00
_cell_angle_beta 90.00
_cell_angle_gamma 90.00
_symmetry_space_group_name_H-M 'I 4/m m m'
_symmetry_Int_Tables_number 139
_symmetry_space_group_name_Hall '-I 4 2'
loop_
_atom_site_label
_atom_site_type_symbol
_atom_site_fract_x
_atom_site_fract_y
_atom_site_fract_z
Y1 Y 0.000 0.000 0.000
Tl1 Tl 0.000 0.500 0.250
Au1 Au 0.000 0.000 0.402



#D
# YTl2Au2 | Alexandria via LeMat-Bulk | PBE-GGA | relaxed
# Magnetic moment, Bohr magnetons per cell: 1.25
data_YTl2Au2
_cell_length_a 8.253
_cell_length_b 8.253
_cell_length_c 3.591
_cell_angle_alpha 90.00
_cell_angle_beta 90.00
_cell_angle_gamma 90.00
_symmetry_space_group_name_H-M 'P 4/m b m'
_symmetry_Int_Tables_number 127
_symmetry_space_group_name_Hall '-P 4 2ab'
loop_
_atom_site_label
_atom_site_type_symbol
_atom_site_fract_x
_atom_site_fract_y
_atom_site_fract_z
Y1 Y 0.000 0.000 0.000
Tl1 Tl 0.133 0.367 0.000
Au1 Au 0.168 0.668 0.500



Energy ordering: #A at the bottom, the next structure 27 meV/atom above.



#A
# YTlAu3 | Alexandria via LeMat-Bulk | PBE-GGA | relaxed
# Magnetic moment, Bohr magnetons per cell: 0.00
data_YTlAu3
_cell_length_a 5.183
_cell_length_b 5.183
_cell_length_c 5.183
_cell_angle_alpha 90.00
_cell_angle_beta 90.00
_cell_angle_gamma 90.00
_symmetry_space_group_name_H-M 'P m -3 m'
_symmetry_Int_Tables_number 221
_symmetry_space_group_name_Hall '-P 4 2 3'
loop_
_atom_site_label
_atom_site_type_symbol
_atom_site_fract_x
_atom_site_fract_y
_atom_site_fract_z
Y1 Y 0.000 0.000 0.000
Tl1 Tl 0.500 0.500 0.500
Au1 Au 0.000 0.500 0.500



#B
# YTlAu3 | Alexandria via LeMat-Bulk | PBE-GGA | relaxed
# Magnetic moment, Bohr magnetons per cell: 0.00
data_YTlAu3
_cell_length_a 5.518
_cell_length_b 5.518
_cell_length_c 5.518
_cell_angle_alpha 90.00
_cell_angle_beta 90.00
_cell_angle_gamma 90.00
_symmetry_space_group_name_H-M 'P m -3 m'
_symmetry_Int_Tables_number 221
_symmetry_space_group_name_Hall '-P 4 2 3'
loop_
_atom_site_label
_atom_site_type_symbol
_atom_site_fract_x
_atom_site_fract_y
_atom_site_fract_z
Y1 Y 0.000 0.000 0.000
Tl1 Tl 0.500 0.500 0.500
Au1 Au 0.000 0.000 0.500



Energy ordering: #B at the bottom, the next structure 131 meV/atom above.



#A
# TlZnAu2 | Alexandria via LeMat-Bulk | PBE-GGA | relaxed
# Magnetic moment, Bohr magnetons per cell: 0.00
data_TlZnAu2
_cell_length_a 3.156
_cell_length_b 5.301
_cell_length_c 9.623
_cell_angle_alpha 90.00
_cell_angle_beta 90.00
_cell_angle_gamma 90.00
_symmetry_space_group_name_H-M 'I m m m'
_symmetry_Int_Tables_number 71
_symmetry_space_group_name_Hall '-I 2 2'
loop_
_atom_site_label
_atom_site_type_symbol
_atom_site_fract_x
_atom_site_fract_y
_atom_site_fract_z
Tl1 Tl 0.000 0.000 0.000
Zn1 Zn 0.000 0.000 0.500
Au1 Au 0.000 0.500 0.218



#B
# TlZnAu2 | Alexandria via LeMat-Bulk | PBE-GGA | relaxed
# Magnetic moment, Bohr magnetons per cell: 0.00
data_TlZnAu2
_cell_length_a 3.605
_cell_length_b 4.674
_cell_length_c 5.306
_cell_angle_alpha 90.00
_cell_angle_beta 95.65
_cell_angle_gamma 90.00
_symmetry_space_group_name_H-M 'P 1 m 1'
_symmetry_Int_Tables_number 6
loop_
_symmetry_equiv_pos_as_xyz
'x,y,z'
'x,-y,z'
loop_
_atom_site_label
_atom_site_type_symbol
_atom_site_fract_x
_atom_site_fract_y
_atom_site_fract_z
Tl1 Tl 0.000 0.000 0.000
Zn1 Zn 0.513 0.500 0.308
Au1 Au 0.435 0.000 0.507
Au2 Au 0.513 0.500 0.818



#C
# TlZnAu2 | Alexandria via LeMat-Bulk | PBE-GGA | relaxed
# Magnetic moment, Bohr magnetons per cell: 0.00
data_TlZnAu2
_cell_length_a 3.3818
_cell_length_b 3.3818
_cell_length_c 25.3278
_cell_angle_alpha 90.00
_cell_angle_beta 90.00
_cell_angle_gamma 120.00
_symmetry_space_group_name_H-M 'R 3 m'
_symmetry_Int_Tables_number 160
_symmetry_space_group_name_Hall 'R 3 -2"'
loop_
_atom_site_label
_atom_site_type_symbol
_atom_site_fract_x
_atom_site_fract_y
_atom_site_fract_z
Tl1 Tl 0.0000 0.0000 0.0000
Zn1 Zn 0.0000 0.0000 0.7582
Au1 Au 0.0000 0.0000 0.2436
Au2 Au 0.0000 0.0000 0.4943



#D
# TlZnAu2 | Alexandria via LeMat-Bulk | PBE-GGA | relaxed
# Magnetic moment, Bohr magnetons per cell: 0.00
data_TlZnAu2
_cell_length_a 8.677
_cell_length_b 3.890
_cell_length_c 5.308
_cell_angle_alpha 90.00
_cell_angle_beta 104.95
_cell_angle_gamma 90.00
_symmetry_space_group_name_H-M 'C 1 m 1'
_symmetry_Int_Tables_number 8
loop_
_symmetry_equiv_pos_as_xyz
'x,y,z'
'x,-y,z'
'x+1/2,y+1/2,z'
'x+1/2,-y+1/2,z'
loop_
_atom_site_label
_atom_site_type_symbol
_atom_site_fract_x
_atom_site_fract_y
_atom_site_fract_z
Tl1 Tl 0.000 0.000 0.000
Zn1 Zn 0.218 0.000 0.620
Au1 Au 0.006 0.500 0.544
Au2 Au 0.261 0.500 0.287



Energy ordering: #D at the bottom, the next structure 16 meV/atom above.